Entry 1:
## Hg4AsF2 (PBE)

Data for a geometry-optimized Hg4AsF2 structure.

Summary:
E_form (uncorrected)   -0.542 eV/atom
Space-group type   I4/mmm, No. 139

abc: 7.531 7.531 7.531
angles: 138.72 138.72 59.79
Element x y z (fractional)
1 Hg 0.000 0.500 0.500
2 Hg 0.212 0.212 0.000
3 Hg 0.500 0.000 0.500
4 Hg 0.788 0.788 0.000
5 As 0.000 0.000 0.000
6 F 0.385 0.385 0.000
7 F 0.615 0.615 0.000

=====

Entry 2:
## Sm4TlRh2 (PBE)

Data for a geometry-optimized Sm4TlRh2 structure.

Summary:
Formation enthalpy at 0 K   -0.503 eV/atom
Space-group type   R-3m, No. 166

abc: 13.583 13.583 13.583
angles: 17.71 17.71 17.71
Element x y z (fractional)
1 Sm 0.108 0.108 0.108
2 Sm 0.298 0.298 0.298
3 Sm 0.702 0.702 0.702
4 Sm 0.892 0.892 0.892
5 Tl 0.500 0.500 0.500
6 Rh 0.404 0.404 0.404
7 Rh 0.596 0.596 0.596

=====

Entry 3:
## Rb2AgBr2Cl2 (PBE)

Data for a geometry-optimized Rb2AgBr2Cl2 structure.

Summary:
E_form (uncorrected)   -1.203 eV/atom
Space-group type   I4/mmm, No. 139

abc: 9.331 9.331 9.331
angles: 147.52 147.52 46.60
Element x y z (fractional)
1 Rb 0.133 0.133 0.000
2 Rb 0.867 0.867 0.000
3 Ag 0.500 0.500 0.000
4 Br 0.340 0.340 0.000
5 Br 0.660 0.660 0.000
6 Cl 0.000 0.500 0.500
7 Cl 0.500 0.000 0.500

=====

Entry 4:
## K7Rb3Sb4 (PBE)

Data for a geometry-optimized K7Rb3Sb4 structure.

Summary:
E_form (uncorrected)   -0.321 eV/atom
Space-group type   C2/m, No. 12

abc: 10.062 10.062 14.191
angles: 127.25 127.25 35.44
Element x y z (fractional)
1 K 0.000 0.000 0.000
2 K 0.176 0.176 0.878
3 K 0.323 0.323 0.479
4 K 0.452 0.452 0.197
5 K 0.548 0.548 0.803
6 K 0.677 0.677 0.521
7 K 0.824 0.824 0.122
8 Rb 0.000 0.000 0.500
9 Rb 0.307 0.307 0.736
10 Rb 0.693 0.693 0.264
11 Sb 0.083 0.083 0.319
12 Sb 0.260 0.260 0.185
13 Sb 0.740 0.740 0.815
14 Sb 0.917 0.917 0.681